Arrangement i

MgVFeP4O14 | GGA+U | optimized geometry

Output
- Density: 2.94 Mg/m³

Cell: 4.921 6.934 8.383 Å, 90.24 90.83 108.83°
Space group P1 (No. 1)
Inequivalent atoms, fractional coordinates:
Mg  0.000  0.000  0.000 [1 per cell]
V  0.020  0.028  0.380 [1 per cell]
Fe  0.582  0.561  0.857 [1 per cell]
P  0.032  0.391  0.087 [1 per cell]
P  0.193  0.816  0.686 [1 per cell]
P  0.422  0.789  0.187 [1 per cell]
P  0.600  0.212  0.591 [1 per cell]
O  0.072  0.806  0.519 [1 per cell]
O  0.208  0.911  0.181 [1 per cell]
O  0.213  0.342  0.951 [1 per cell]
O  0.238  0.552  0.209 [1 per cell]
O  0.345  0.661  0.716 [1 per cell]
O  0.411  0.208  0.444 [1 per cell]
O  0.421  0.042  0.719 [1 per cell]
O  0.574  0.804  0.024 [1 per cell]
O  0.626  0.838  0.328 [1 per cell]
O  0.677  0.406  0.691 [1 per cell]
O  0.797  0.471  0.031 [1 per cell]
O  0.870  0.159  0.552 [1 per cell]
O  0.925  0.190  0.180 [1 per cell]
O  0.968  0.809  0.818 [1 per cell]



Arrangement ii

MgVFeP4O14 | GGA+U | optimized geometry

Output
- Density: 2.94 Mg/m³

Cell: 5.021 6.848 8.351 Å, 90.32 90.41 109.48°
Space group P1 (No. 1)
Inequivalent atoms, fractional coordinates:
Mg  0.000  0.000  0.000 [1 per cell]
V  0.189  0.475  0.877 [1 per cell]
Fe  0.600  0.909  0.399 [1 per cell]
P  0.016  0.682  0.201 [1 per cell]
P  0.173  0.106  0.608 [1 per cell]
P  0.620  0.262  0.109 [1 per cell]
P  0.781  0.699  0.709 [1 per cell]
O  0.122  0.703  0.026 [1 per cell]
O  0.235  0.685  0.326 [1 per cell]
O  0.285  0.301  0.707 [1 per cell]
O  0.351  0.277  0.028 [1 per cell]
O  0.401  0.021  0.556 [1 per cell]
O  0.536  0.078  0.218 [1 per cell]
O  0.572  0.680  0.848 [1 per cell]
O  0.664  0.698  0.542 [1 per cell]
O  0.764  0.462  0.217 [1 per cell]
O  0.839  0.245  0.983 [1 per cell]
O  0.868  0.847  0.213 [1 per cell]
O  0.958  0.557  0.721 [1 per cell]
O  0.962  0.110  0.479 [1 per cell]
O  0.993  0.937  0.751 [1 per cell]



According to the calculations, the structures order from most to least stable as arrangement i, arrangement ii.



Arrangement i

Mg2FeSbO6 | GGA+U | optimized geometry

Output
- Density: 4.99 Mg/m³

Cell: 5.213 7.637 5.387 Å, 90.00 90.65 90.00°
Space group P2_1/m (No. 11)
Inequivalent atoms, fractional coordinates:
Mg  0.009  0.250  0.035 [2 per cell]
Mg  0.482  0.750  0.432 [2 per cell]
Fe  0.500  0.000  0.000 [2 per cell]
Sb  0.000  0.000  0.500 [2 per cell]
O  0.138  0.250  0.426 [2 per cell]
O  0.172  0.569  0.188 [4 per cell]
O  0.318  0.569  0.678 [4 per cell]
O  0.378  0.250  0.929 [2 per cell]



Arrangement ii

Mg2FeSbO6 | GGA+U | optimized geometry

Output
- Density: 4.90 Mg/m³

Cell: 5.2087 5.2087 13.9536 Å, 90.00 90.00 120.00°
Space group R3 (No. 146, hexagonal axes)
Inequivalent atoms, fractional coordinates:
Mg  0.0000  0.0000  0.0000 [3 per cell]
Mg  0.0000  0.0000  0.4963 [3 per cell]
Fe  0.0000  0.0000  0.2103 [3 per cell]
Sb  0.0000  0.0000  0.7046 [3 per cell]
O  0.0397  0.3529  0.7731 [9 per cell]
O  0.0423  0.6820  0.2748 [9 per cell]



According to the calculations, the structures order from most to least stable as arrangement ii, arrangement i.



Arrangement i

MgSc4Fe4O12 | GGA+U | optimized geometry

Output
- Density: 4.28 Mg/m³

Cell: 5.144 5.451 8.582 Å, 91.36 92.73 91.39°
Space group P1 (No. 1)
Inequivalent atoms, fractional coordinates:
Mg  0.000  0.000  0.000 [1 per cell]
Sc  0.348  0.773  0.379 [1 per cell]
Sc  0.481  0.933  0.847 [1 per cell]
Sc  0.861  0.461  0.856 [1 per cell]
Sc  0.954  0.271  0.368 [1 per cell]
Fe  0.369  0.356  0.649 [1 per cell]
Fe  0.416  0.340  0.125 [1 per cell]
Fe  0.816  0.729  0.226 [1 per cell]
Fe  0.908  0.864  0.613 [1 per cell]
O  0.105  0.785  0.824 [1 per cell]
O  0.112  0.559  0.531 [1 per cell]
O  0.129  0.518  0.219 [1 per cell]
O  0.169  0.013  0.213 [1 per cell]
O  0.200  0.067  0.537 [1 per cell]
O  0.219  0.270  0.860 [1 per cell]
O  0.609  0.461  0.343 [1 per cell]
O  0.610  0.651  0.693 [1 per cell]
O  0.689  0.724  0.004 [1 per cell]
O  0.694  0.160  0.701 [1 per cell]
O  0.704  0.212  0.008 [1 per cell]
O  0.722  0.943  0.406 [1 per cell]



Arrangement ii

MgSc4Fe4O12 | GGA+U | optimized geometry

Output
- Density: 4.32 Mg/m³

Cell: 5.528 5.630 7.775 Å, 84.09 86.57 81.69°
Space group P1 (No. 1)
Inequivalent atoms, fractional coordinates:
Mg  0.000  0.000  0.000 [1 per cell]
Sc  0.087  0.202  0.621 [1 per cell]
Sc  0.197  0.365  0.142 [1 per cell]
Sc  0.562  0.797  0.130 [1 per cell]
Sc  0.581  0.830  0.642 [1 per cell]
Fe  0.073  0.742  0.363 [1 per cell]
Fe  0.081  0.644  0.803 [1 per cell]
Fe  0.573  0.312  0.829 [1 per cell]
Fe  0.656  0.243  0.353 [1 per cell]
O  0.207  0.259  0.881 [1 per cell]
O  0.220  0.831  0.589 [1 per cell]
O  0.221  0.995  0.194 [1 per cell]
O  0.419  0.521  0.280 [1 per cell]
O  0.430  0.663  0.908 [1 per cell]
O  0.461  0.223  0.587 [1 per cell]
O  0.660  0.169  0.080 [1 per cell]
O  0.711  0.886  0.387 [1 per cell]
O  0.808  0.501  0.694 [1 per cell]
O  0.823  0.008  0.775 [1 per cell]
O  0.933  0.658  0.073 [1 per cell]
O  0.968  0.348  0.379 [1 per cell]



According to the calculations, the structures order from most to least stable as arrangement ii, arrangement i.



Arrangement i

MgFeSiO4 | GGA+U | optimized geometry

Output
- Density: 4.08 Mg/m³

Cell: 5.761 5.898 8.250 Å, 90.00 90.00 90.00°
Space group Imma (No. 74)
Inequivalent atoms, fractional coordinates:
Mg  0.000  0.000  0.000 [4 per cell]
Fe  0.250  0.250  0.250 [4 per cell]
Si  0.000  0.250  0.624 [4 per cell]
O  0.000  0.020  0.743 [8 per cell]
O  0.239  0.250  0.508 [8 per cell]



Arrangement ii

MgFeSiO4 | GGA+U | optimized geometry

Output
- Density: 3.68 Mg/m³

Cell: 10.509 6.140 4.812 Å, 90.00 90.00 90.00°
Space group Pnma (No. 62)
Inequivalent atoms, fractional coordinates:
Mg  0.000  0.000  0.000 [4 per cell]
Fe  0.222  0.250  0.486 [4 per cell]
Si  0.093  0.750  0.425 [4 per cell]
O  0.050  0.250  0.729 [4 per cell]
O  0.087  0.750  0.764 [4 per cell]
O  0.161  0.535  0.280 [8 per cell]



According to the calculations, the structures order from most to least stable as arrangement ii, arrangement i.



Arrangement i

MgFeSi2O6 | GGA+U | optimized geometry

Output
- Density: 3.35 Mg/m³

Cell: 10.190 9.005 5.417 Å, 90.00 112.17 90.00°
Space group C2/c (No. 15)
Inequivalent atoms, fractional coordinates:
Mg  0.000  0.240  0.250 [4 per cell]
Fe  0.000  0.401  0.750 [4 per cell]
Si  0.207  0.088  0.696 [8 per cell]
O  0.118  0.240  0.648 [8 per cell]
O  0.121  0.405  0.175 [8 per cell]
O  0.153  0.028  0.379 [8 per cell]



Arrangement ii

MgFeSi2O6 | GGA+U | optimized geometry

Output
- Density: 4.49 Mg/m³

Cell: 6.737 2.723 9.366 Å, 90.00 90.00 90.00°
Space group Amm2 (No. 38)
Inequivalent atoms, fractional coordinates:
Mg  0.000  0.000  0.000 [2 per cell]
Fe  0.500  0.000  0.525 [2 per cell]
Si  0.250  0.000  0.265 [4 per cell]
O  0.000  0.000  0.334 [2 per cell]
O  0.197  0.000  0.638 [4 per cell]
O  0.298  0.000  0.888 [4 per cell]
O  0.500  0.000  0.201 [2 per cell]



According to the calculations, the structures order from most to least stable as arrangement i, arrangement ii.



Arrangement i

Mg6FeSiO8 | GGA+U | optimized geometry

Output
- Density: 3.75 Mg/m³

Cell: 4.311 4.311 8.526 Å, 90.00 90.00 90.00°
Space group P4/mmm (No. 123)
Inequivalent atoms, fractional coordinates:
Mg  0.000  0.000  0.000 [1 per cell]
Mg  0.000  0.000  0.500 [1 per cell]
Mg  0.000  0.500  0.242 [4 per cell]
Fe  0.500  0.500  0.000 [1 per cell]
Si  0.500  0.500  0.500 [1 per cell]
O  0.000  0.000  0.251 [2 per cell]
O  0.000  0.500  0.000 [2 per cell]
O  0.000  0.500  0.500 [2 per cell]
O  0.500  0.500  0.285 [2 per cell]



Arrangement ii

Mg6FeSiO8 | GGA+U | optimized geometry

Output
- Density: 3.65 Mg/m³

Cell: 4.342 4.342 8.633 Å, 90.00 90.00 90.00°
Space group P4/mmm (No. 123)
Inequivalent atoms, fractional coordinates:
Mg  0.000  0.000  0.000 [1 per cell]
Mg  0.000  0.500  0.247 [4 per cell]
Mg  0.500  0.500  0.000 [1 per cell]
Fe  0.000  0.000  0.500 [1 per cell]
Si  0.500  0.500  0.500 [1 per cell]
O  0.000  0.000  0.248 [2 per cell]
O  0.000  0.500  0.000 [2 per cell]
O  0.000  0.500  0.500 [2 per cell]
O  0.500  0.500  0.238 [2 per cell]



According to the calculations, the structures order from most to least stable as arrangement ii, arrangement i.



Arrangement i

Mg2TaFeO6 | GGA+U | optimized geometry

Output
- Density: 5.81 Mg/m³

Cell: 5.1921 5.1921 14.0152 Å, 90.00 90.00 120.00°
Space group R3 (No. 146, hexagonal axes)
Inequivalent atoms, fractional coordinates:
Mg  0.0000  0.0000  0.0000 [3 per cell]
Mg  0.0000  0.0000  0.4979 [3 per cell]
Ta  0.0000  0.0000  0.2081 [3 per cell]
Fe  0.0000  0.0000  0.7115 [3 per cell]
O  0.0386  0.3475  0.2735 [9 per cell]
O  0.0432  0.6851  0.7753 [9 per cell]



Arrangement ii

Mg2TaFeO6 | GGA+U | optimized geometry

Output
- Density: 5.92 Mg/m³

Cell: 5.205 7.606 5.402 Å, 90.00 90.41 90.00°
Space group P2_1/m (No. 11)
Inequivalent atoms, fractional coordinates:
Mg  0.003  0.250  0.462 [2 per cell]
Mg  0.490  0.750  0.064 [2 per cell]
Ta  0.000  0.000  0.000 [2 per cell]
Fe  0.500  0.000  0.500 [2 per cell]
O  0.130  0.250  0.063 [2 per cell]
O  0.171  0.567  0.314 [4 per cell]
O  0.317  0.567  0.823 [4 per cell]
O  0.375  0.250  0.571 [2 per cell]



According to the calculations, the structures order from most to least stable as arrangement i, arrangement ii.



Arrangement i

Mg6TiFeO8 | GGA+U | optimized geometry

Output
- Density: 3.94 Mg/m³

Cell: 4.302 4.302 8.599 Å, 90.00 90.00 90.00°
Space group P4/mmm (No. 123)
Inequivalent atoms, fractional coordinates:
Mg  0.000  0.000  0.000 [1 per cell]
Mg  0.000  0.500  0.248 [4 per cell]
Mg  0.500  0.500  0.000 [1 per cell]
Ti  0.000  0.000  0.500 [1 per cell]
Fe  0.500  0.500  0.500 [1 per cell]
O  0.000  0.000  0.244 [2 per cell]
O  0.000  0.500  0.000 [2 per cell]
O  0.000  0.500  0.500 [2 per cell]
O  0.500  0.500  0.247 [2 per cell]



Arrangement ii

Mg6TiFeO8 | GGA+U | optimized geometry

Output
- Density: 3.95 Mg/m³

Cell: 4.268 4.268 8.718 Å, 90.00 90.00 90.00°
Space group P4/mmm (No. 123)
Inequivalent atoms, fractional coordinates:
Mg  0.000  0.000  0.000 [1 per cell]
Mg  0.000  0.000  0.500 [1 per cell]
Mg  0.000  0.500  0.242 [4 per cell]
Ti  0.500  0.500  0.500 [1 per cell]
Fe  0.500  0.500  0.000 [1 per cell]
O  0.000  0.000  0.250 [2 per cell]
O  0.000  0.500  0.000 [2 per cell]
O  0.000  0.500  0.500 [2 per cell]
O  0.500  0.500  0.263 [2 per cell]



According to the calculations, the structures order from most to least stable as arrangement i, arrangement ii.